Hf3Zr4Sc, relaxed, DFT GGA-PBE; formation enthalpy at 0 K = 0.5 eV per formula unit; symmetry = No. 2
1.0
5.519 0.000 0.000
1.847 6.095 0.000
1.828 2.772 5.453
Hf Zr Sc
3 4 1
Cartesian
0.000 0.000 0.000
4.592 3.584 4.119
4.602 5.282 1.334
0.914 1.386 2.727
0.924 3.047 0.000
5.509 6.662 4.097
3.684 2.205 1.356
1.838 4.433 2.727


Hf4ZrSc4, relaxed, DFT GGA-PBE; formation enthalpy at 0 K = 0.2 eV per formula unit; symmetry = No. 12
1.0
7.723 -1.602 0.000
7.723 1.602 0.000
-1.657 0.000 8.458
Hf Zr Sc
4 1 4
Cartesian
-0.380 0.000 2.735
1.022 0.000 7.760
12.768 0.000 0.697
14.169 0.000 5.723
7.723 0.000 0.000
3.773 0.000 6.467
4.686 0.000 3.539
9.103 0.000 4.918
10.017 0.000 1.991